Density functional theory data (SCAN) for a crystal of Ca4IrRu relaxed with PBEsol.

Unit cell a=5.7022 b=5.7022 c=5.7022 alpha=60.00 beta=60.00 gamma=60.00
With the nearest neighbours (Å) after each atom.
Sites, in units of the cell vectors:
1 Ca 0.1254 0.1254 0.1254  6 Ca 2.84-2.86
2 Ca 0.1254 0.1254 0.6239  6 Ca 2.84-2.86
3 Ca 0.1254 0.6239 0.1254  6 Ca 2.84-2.86
4 Ca 0.6239 0.1254 0.1254  6 Ca 2.84-2.86
5 Ir 0.5000 0.5000 0.5000  12 Ca 3.34, 4 Ru 3.49
6 Ru 0.7500 0.7500 0.7500  12 Ca 3.34, 4 Ir 3.49

## Properties
energy of formation = 1123.6 meV/atom
crystal system = cubic
calculated density = 5745 kg/m3
E_tot = -137.84 eV/cell
total magnetization = 0.163 μB/atom



Density functional theory data (SCAN) for a crystal of KCuBr2 relaxed with PBEsol.

Unit cell a=6.5516 b=6.5516 c=6.5516 alpha=110.86 beta=110.86 gamma=106.74
With the nearest neighbours (Å) after each atom.
Sites, in units of the cell vectors:
1 K 0.0000 0.0000 0.0000  4 Br 3.26
2 K 0.7500 0.2500 0.5000  4 Br 3.26
3 Cu 0.2500 0.7500 0.5000  4 Br 2.43
4 Cu 0.5000 0.5000 0.0000  4 Br 2.43
5 Br 0.2104 0.1250 0.5854  2 Cu 2.43
6 Br 0.3750 0.7896 0.9146  2 Cu 2.43
7 Br 0.5396 0.6250 0.4146  2 Cu 2.43
8 Br 0.8750 0.4604 0.0854  2 Cu 2.43

## Properties
energy above the most stable polymorph in this dataset = 0 meV per atom
crystal system = tetragonal
calculated density = 4033 kg/m3
E_tot = -133.46 eV/cell
energy relative to the elements, uncorrected = -1071 meV/atom
total magnetization = 0.000 μB/atom



Density functional theory data (SCAN) for a crystal of K2RbMnH relaxed with PBEsol.

Unit cell a=5.5086 b=5.5086 c=5.8094 alpha=90.00 beta=90.00 gamma=90.00
With the nearest neighbours (Å) after each atom.
Sites, in units of the cell vectors:
1 K 0.0000 0.5000 0.0000  2 H 2.75
2 K 0.5000 0.0000 0.0000  2 H 2.75
3 Rb 0.0000 0.0000 0.5000  2 H 2.90
4 Mn 0.5000 0.5000 0.5000  4 Rb 3.90, 8 K 4.00
5 H 0.0000 0.0000 0.0000  4 K 2.75, 2 Rb 2.90

## Properties
energy above the most stable polymorph in this dataset = 0 meV per atom
crystal system = tetragonal
calculated density = 2069 kg/m3
E_tot = -57.75 eV/cell
total magnetization = 1.218 μB/atom



Density functional theory data (SCAN) for a crystal of Na6Sn2Se7 relaxed with PBEsol.

Unit cell a=7.3537 b=7.3537 c=15.9247 alpha=99.06 beta=99.06 gamma=99.20
With the nearest neighbours (Å) after each atom.
Sites, in units of the cell vectors:
1 Na 0.0000 0.0000 0.0000  6 Se 2.92-3.20
2 Na 0.0000 0.0000 0.5000  6 Se 2.92-3.20
3 Na 0.0057 0.5482 0.1392  5 Se 3.00-3.26
4 Na 0.0759 0.9241 0.7500  4 Se 2.87-2.91
5 Na 0.2438 0.5318 0.4248  5 Se 2.99-3.35
6 Na 0.4518 0.9943 0.3608  5 Se 3.00-3.26
7 Na 0.4682 0.7562 0.0752  5 Se 2.99-3.35
8 Na 0.5318 0.2438 0.9248  5 Se 2.99-3.35
9 Na 0.5482 0.0057 0.6392  5 Se 3.00-3.26
10 Na 0.7562 0.4682 0.5752  5 Se 2.99-3.35
11 Na 0.9241 0.0759 0.2500  4 Se 2.87-2.91
12 Na 0.9943 0.4518 0.8608  5 Se 3.00-3.26
13 Sn 0.2528 0.4269 0.6356  4 Se 2.51-2.57
14 Sn 0.4269 0.2528 0.1356  4 Se 2.51-2.57
15 Sn 0.5731 0.7472 0.8644  4 Se 2.51-2.57
16 Sn 0.7472 0.5731 0.3644  4 Se 2.51-2.57
17 Se 0.0242 0.7540 0.3193  1 Sn 2.52
18 Se 0.1840 0.7319 0.6001  1 Sn 2.51
19 Se 0.2319 0.3697 0.0170  1 Sn 2.53
20 Se 0.2460 0.9758 0.1807  1 Sn 2.52
21 Se 0.2681 0.8160 0.8999  1 Sn 2.51
22 Se 0.3697 0.2319 0.5170  1 Sn 2.53
23 Se 0.4510 0.5490 0.2500  2 Sn 2.57
24 Se 0.5490 0.4510 0.7500  2 Sn 2.57
25 Se 0.6303 0.7681 0.4830  1 Sn 2.53
26 Se 0.7319 0.1840 0.1001  1 Sn 2.51
27 Se 0.7540 0.0242 0.8193  1 Sn 2.52
28 Se 0.7681 0.6303 0.9830  1 Sn 2.53
29 Se 0.8160 0.2681 0.3999  1 Sn 2.51
30 Se 0.9758 0.2460 0.6807  1 Sn 2.52

## Properties
crystal system = monoclinic
calculated density = 3738 kg/m3
E_tot = -504.84 eV/cell
energy relative to the elements, uncorrected = -983 meV/atom
total magnetization = 0.000 μB/atom



Density functional theory data (SCAN) for a crystal of BeCu2 relaxed with PBEsol.

Unit cell a=3.7241 b=3.7241 c=2.4664 alpha=90.00 beta=90.00 gamma=90.00
With the nearest neighbours (Å) after each atom.
Sites, in units of the cell vectors:
1 Be 0.0000 0.0000 0.0000  8 Cu 2.23, 2 Be 2.47
2 Cu 0.0000 0.5000 0.5000  4 Be 2.23, 2 Cu 2.47
3 Cu 0.5000 0.0000 0.5000  4 Be 2.23, 2 Cu 2.47

## Properties
energy of formation = 144.7 meV/atom
crystal system = tetragonal
calculated density = 6607 kg/m3
E_tot = -34.32 eV/cell
total magnetization = 0.000 μB/atom



Density functional theory data (SCAN) for a crystal of Cd5Cu24 relaxed with PBEsol.

Unit cell a=7.8255 b=7.8255 c=7.8255 alpha=109.47 beta=109.47 gamma=109.47
With the nearest neighbours (Å) after each atom.
Sites, in units of the cell vectors:
1 Cd 0.0000 0.0000 0.0000  12 Cu 2.86, 4 Cd 2.88
2 Cd 0.0000 0.0000 0.3675  12 Cu 2.57-2.85, 1 Cd 2.88
3 Cd 0.0000 0.3675 0.0000  12 Cu 2.57-2.85, 1 Cd 2.88
4 Cd 0.3675 0.0000 0.0000  12 Cu 2.57-2.85, 1 Cd 2.88
5 Cd 0.6325 0.6325 0.6325  12 Cu 2.57-2.85, 1 Cd 2.88
6 Cu 0.0000 0.3239 0.5964  5 Cu 2.35-2.58, 1 Cd 2.57
7 Cu 0.0000 0.5964 0.3239  5 Cu 2.35-2.58, 1 Cd 2.57
8 Cu 0.0000 0.6190 0.8077  6 Cu 2.35-2.58
9 Cu 0.0000 0.8077 0.6190  6 Cu 2.35-2.58
10 Cu 0.1886 0.3810 0.3810  6 Cu 2.35-2.58
11 Cu 0.1923 0.1923 0.8114  6 Cu 2.35-2.58
12 Cu 0.1923 0.8114 0.1923  6 Cu 2.35-2.58
13 Cu 0.2725 0.6761 0.6761  5 Cu 2.35-2.58, 1 Cd 2.57
14 Cu 0.3239 0.0000 0.5964  5 Cu 2.35-2.58, 1 Cd 2.57
15 Cu 0.3239 0.5964 0.0000  5 Cu 2.35-2.58, 1 Cd 2.57
16 Cu 0.3810 0.1886 0.3810  6 Cu 2.35-2.58
17 Cu 0.3810 0.3810 0.1886  6 Cu 2.35-2.58
18 Cu 0.4036 0.4036 0.7275  5 Cu 2.35-2.58, 1 Cd 2.57
19 Cu 0.4036 0.7275 0.4036  5 Cu 2.35-2.58, 1 Cd 2.57
20 Cu 0.5964 0.0000 0.3239  5 Cu 2.35-2.58, 1 Cd 2.57
21 Cu 0.5964 0.3239 0.0000  5 Cu 2.35-2.58, 1 Cd 2.57
22 Cu 0.6190 0.0000 0.8077  6 Cu 2.35-2.58
23 Cu 0.6190 0.8077 0.0000  6 Cu 2.35-2.58
24 Cu 0.6761 0.2725 0.6761  5 Cu 2.35-2.58, 1 Cd 2.57
25 Cu 0.6761 0.6761 0.2725  5 Cu 2.35-2.58, 1 Cd 2.57
26 Cu 0.7275 0.4036 0.4036  5 Cu 2.35-2.58, 1 Cd 2.57
27 Cu 0.8077 0.0000 0.6190  6 Cu 2.35-2.58
28 Cu 0.8077 0.6190 0.0000  6 Cu 2.35-2.58
29 Cu 0.8114 0.1923 0.1923  6 Cu 2.35-2.58

## Properties
energy of formation = 76.2 meV/atom
crystal system = cubic
calculated density = 9395 kg/m3
E_tot = -514.65 eV/cell
total magnetization = 0.000 μB/atom



Density functional theory data (SCAN) for a crystal of Y2TlTc relaxed with PBEsol.

Unit cell a=9.3464 b=9.3464 c=9.3464 alpha=21.41 beta=21.41 gamma=21.41
With the nearest neighbours (Å) after each atom.
Sites, in units of the cell vectors:
1 Y 0.2387 0.2387 0.2387  3 Tc 2.81
2 Y 0.7613 0.7613 0.7613  3 Tc 2.81
3 Tl 0.0000 0.0000 0.0000  6 Y 3.28, 6 Tl 3.47
4 Tc 0.5000 0.5000 0.5000  6 Y 2.81

## Properties
energy of formation = -69.4 meV/atom
crystal system = trigonal
calculated density = 8365 kg/m3
E_tot = -163.38 eV/cell
total magnetization = 0.000 μB/atom



Density functional theory data (SCAN) for a crystal of Cs3BeN relaxed with PBEsol.

Unit cell a=5.8967 b=5.8967 c=5.8967 alpha=90.00 beta=90.00 gamma=90.00
With the nearest neighbours (Å) after each atom.
Sites, in units of the cell vectors:
1 Cs 0.0000 0.0000 0.5000  2 N 2.95
2 Cs 0.0000 0.5000 0.0000  2 N 2.95
3 Cs 0.5000 0.0000 0.0000  2 N 2.95
4 Be 0.5000 0.5000 0.5000  12 Cs 4.17
5 N 0.0000 0.0000 0.0000  6 Cs 2.95

## Properties
crystal system = cubic
calculated density = 3416 kg/m3
E_tot = -122.84 eV/cell
energy relative to the elements, uncorrected = 848 meV/atom
total magnetization = 0.467 μB/atom



Density functional theory data (SCAN) for a crystal of CaCoRh2 relaxed with PBEsol.

Unit cell a=3.0722 b=3.0722 c=6.7446 alpha=90.00 beta=90.00 gamma=90.00
With the nearest neighbours (Å) after each atom.
Sites, in units of the cell vectors:
1 Ca 0.0000 0.0000 0.0000  5 Rh 2.95-3.19, 4 Co 3.04, 4 Ca 3.07
2 Co 0.5000 0.5000 0.3146  5 Rh 2.42-2.63
3 Rh 0.0000 0.0000 0.4723  4 Co 2.42, 4 Rh 2.68
4 Rh 0.5000 0.5000 0.7049  1 Co 2.63, 4 Rh 2.68, 4 Ca 2.95

## Properties
energy above the most stable polymorph in this dataset = 41 meV per atom
energy of formation = 109.4 meV/atom
crystal system = tetragonal
calculated density = 7952 kg/m3
E_tot = -94.07 eV/cell
total magnetization = 0.674 μB/atom



Density functional theory data (SCAN) for a crystal of Nd8Ga3Co relaxed with PBEsol.

Unit cell a=10.3144 b=10.3144 c=6.7925 alpha=90.00 beta=90.00 gamma=120.00
With the nearest neighbours (Å) after each atom.
Sites, in units of the cell vectors:
1 Nd 0.0000 0.0000 0.0090  8 Nd 3.38-3.61, 6 Ga 3.39-3.41
2 Nd 0.0000 0.0000 0.5090  8 Nd 3.38-3.61, 6 Ga 3.39-3.41
3 Nd 0.0729 0.5365 0.0000  1 Co 2.80
4 Nd 0.1706 0.3412 0.2924  1 Co 2.94, 3 Ga 3.01-3.15
5 Nd 0.1706 0.8294 0.2924  1 Co 2.94, 3 Ga 3.01-3.15
6 Nd 0.3333 0.6667 0.6153  1 Co 2.62
7 Nd 0.3412 0.1706 0.7924  1 Co 2.94, 3 Ga 3.01-3.15
8 Nd 0.4635 0.5365 0.0000  1 Co 2.80
9 Nd 0.4635 0.9271 0.0000  1 Co 2.80
10 Nd 0.5365 0.0729 0.5000  1 Co 2.80
11 Nd 0.5365 0.4635 0.5000  1 Co 2.80
12 Nd 0.6587 0.8294 0.2924  1 Co 2.94, 3 Ga 3.01-3.15
13 Nd 0.6667 0.3333 0.1153  1 Co 2.62
14 Nd 0.8294 0.1706 0.7924  1 Co 2.94, 3 Ga 3.01-3.15
15 Nd 0.8294 0.6587 0.7924  1 Co 2.94, 3 Ga 3.01-3.15
16 Nd 0.9271 0.4635 0.5000  1 Co 2.80
17 Ga 0.1647 0.3293 0.7565  6 Nd 3.01-3.20
18 Ga 0.1647 0.8353 0.7565  6 Nd 3.01-3.20
19 Ga 0.3293 0.1647 0.2565  6 Nd 3.01-3.20
20 Ga 0.6707 0.8353 0.7565  6 Nd 3.01-3.20
21 Ga 0.8353 0.1647 0.2565  6 Nd 3.01-3.20
22 Ga 0.8353 0.6707 0.2565  6 Nd 3.01-3.20
23 Co 0.3333 0.6667 0.2289  7 Nd 2.62-2.94
24 Co 0.6667 0.3333 0.7289  7 Nd 2.62-2.94

## Properties
energy of formation = -391.8 meV/atom
crystal system = hexagonal
calculated density = 7546 kg/m3
E_tot = -839.40 eV/cell
total magnetization = 0.000 μB/atom



Density functional theory data (SCAN) for a crystal of Ba3N relaxed with PBEsol.

Unit cell a=7.5734 b=7.5734 c=6.9708 alpha=90.00 beta=90.00 gamma=120.00
With the nearest neighbours (Å) after each atom.
Sites, in units of the cell vectors:
1 Ba 0.0000 0.2738 0.2500  2 N 2.71
2 Ba 0.0000 0.7262 0.7500  2 N 2.71
3 Ba 0.2738 0.0000 0.2500  2 N 2.71
4 Ba 0.2738 0.2738 0.7500  2 N 2.71
5 Ba 0.7262 0.0000 0.7500  2 N 2.71
6 Ba 0.7262 0.7262 0.2500  2 N 2.71
7 N 0.0000 0.0000 0.0000  6 Ba 2.71
8 N 0.0000 0.0000 0.5000  6 Ba 2.71

## Properties
crystal system = hexagonal
calculated density = 4086 kg/m3
E_tot = -259.17 eV/cell
energy relative to the elements, uncorrected = -411 meV/atom
total magnetization = 0.005 μB/atom



Density functional theory data (SCAN) for a crystal of ReAsW relaxed with PBEsol.

Unit cell a=4.1879 b=4.1879 c=4.1879 alpha=60.00 beta=60.00 gamma=60.00
With the nearest neighbours (Å) after each atom.
Sites, in units of the cell vectors:
1 Re 0.0000 0.0000 0.0000  4 W 2.56, 4 As 2.56
2 As 0.2500 0.2500 0.2500  4 Re 2.56
3 W 0.7500 0.7500 0.7500  4 Re 2.56

## Properties
energy above the most stable polymorph in this dataset = 0 meV per atom
energy of formation = 192.0 meV/atom
crystal system = cubic
calculated density = 14227 kg/m3
E_tot = -160.40 eV/cell
total magnetization = 0.000 μB/atom



- What is the formula in the fourth record?
  Na6Sn2Se7